No. 1
VPdS2: relaxed, PBE-GGA.

The structure in POSCAR format:
```
VPdS2
1.0
0.961 -12.443 -8.910
0.977 -6.709 3.290
-6.246 1.016 4.092
S Pd V
16 8 8
Direct
0.979 0.752 0.724 S
0.521 0.224 0.252 S
0.021 0.248 0.276 S
0.479 0.776 0.748 S
0.755 0.245 0.265 S
0.745 0.765 0.745 S
0.245 0.755 0.735 S
0.255 0.235 0.255 S
0.528 0.718 0.266 S
0.972 0.766 0.218 S
0.472 0.282 0.734 S
0.028 0.234 0.782 S
0.750 0.237 0.737 S
0.250 0.763 0.263 S
0.750 0.750 0.250 S
0.250 0.250 0.750 S
0.380 0.383 0.359 Pd
0.120 0.859 0.883 Pd
0.620 0.617 0.641 Pd
0.880 0.141 0.117 Pd
0.385 0.093 0.126 Pd
0.115 0.626 0.593 Pd
0.615 0.907 0.874 Pd
0.885 0.374 0.407 Pd
0.136 0.116 0.145 V
0.364 0.645 0.616 V
0.864 0.884 0.855 V
0.636 0.355 0.384 V
0.362 0.134 0.613 V
0.138 0.113 0.634 V
0.638 0.866 0.387 V
0.862 0.887 0.366 V
```

Results
The uncorrected formation energy is -0.5393 eV/atom. Its symmetry is No. 15.

No. 2
ZnTc3Os: relaxed, PBE-GGA.

The structure in POSCAR format:
```
ZnTc3Os
1.0
-3.027 -2.656 2.418
1.488 -3.806 -2.316
3.269 -0.726 3.294
Zn Os Tc
1 1 3
Direct
0.500 0.500 0.500 Zn
0.000 0.000 0.000 Os
0.000 0.500 0.000 Tc
0.000 0.000 0.500 Tc
0.500 0.000 0.000 Tc
```

Results
Its symmetry is No. 221. The formation energy from the elements is 1.7121 eV per atom.

No. 3
BaThUO6: relaxed, PBE-GGA.

The structure in POSCAR format:
```
BaThUO6
1.0
6.161 0.000 0.000
-3.080 5.335 0.000
0.000 0.000 9.457
Ba Th U O
2 2 2 12
Direct
0.333 0.667 0.250 Ba
0.667 0.333 0.750 Ba
0.000 0.000 0.000 Th
0.000 0.000 0.500 Th
0.667 0.333 0.250 U
0.333 0.667 0.750 U
0.712 0.638 0.125 O
0.925 0.288 0.125 O
0.288 0.925 0.625 O
0.075 0.712 0.875 O
0.362 0.288 0.375 O
0.925 0.638 0.375 O
0.638 0.925 0.875 O
0.712 0.075 0.375 O
0.075 0.362 0.625 O
0.362 0.075 0.125 O
0.638 0.712 0.625 O
0.288 0.362 0.875 O
```

Results
The uncorrected formation energy is -3.1998 eV/atom. Its symmetry is No. 163.